Record 1
A plane-wave DFT calculation with PBE-GGA was carried out for crystalline ZrTi2MnCl at its relaxed geometry.

CIF file:
```
data_ZrTi2MnCl
_cell_length_a 4.951
_cell_length_b 4.951
_cell_length_c 5.156
_cell_angle_alpha 90.00
_cell_angle_beta 90.00
_cell_angle_gamma 90.00
_space_group_name_H-M_alt 'P 4/m m m'
_space_group_IT_number 123
_space_group_name_Hall '-P 4 2'
loop_
_atom_site_label
_atom_site_type_symbol
_atom_site_fract_x
_atom_site_fract_y
_atom_site_fract_z
Zr1 Zr 0.000 0.000 0.000
Ti1 Ti 0.000 0.500 0.000
Mn1 Mn 0.000 0.000 0.500
Cl1 Cl 0.500 0.500 0.500
```

Record 2
A plane-wave DFT calculation with PBE-GGA was carried out for crystalline Mn2Tl5Cl12 at its relaxed geometry.

CIF file:
```
data_Mn2Tl5Cl12
_cell_length_a 16.758
_cell_length_b 7.721
_cell_length_c 9.295
_cell_angle_alpha 90.00
_cell_angle_beta 109.15
_cell_angle_gamma 90.00
_space_group_name_H-M_alt 'C 1 2/m 1'
_space_group_IT_number 12
loop_
_space_group_symop_operation_xyz
'x,y,z'
'-x,-y,-z'
'-x,y,-z'
'x,-y,z'
'x+1/2,y+1/2,z'
'-x+1/2,-y+1/2,-z'
'-x+1/2,y+1/2,-z'
'x+1/2,-y+1/2,z'
loop_
_atom_site_label
_atom_site_type_symbol
_atom_site_fract_x
_atom_site_fract_y
_atom_site_fract_z
Mn1 Mn 0.000 0.249 0.000
Tl1 Tl 0.000 0.500 0.500
Tl2 Tl 0.187 0.000 0.841
Tl3 Tl 0.199 0.000 0.371
Cl1 Cl 0.001 0.500 0.816
Cl2 Cl 0.003 0.000 0.182
Cl3 Cl 0.119 0.270 0.563
Cl4 Cl 0.148 0.249 0.086
```

Record 3
A plane-wave DFT calculation with PBE-GGA was carried out for crystalline Mn4TlCl8 at its relaxed geometry.

CIF file:
```
data_Mn4TlCl8
_cell_length_a 7.3751
_cell_length_b 7.3751
_cell_length_c 23.3914
_cell_angle_alpha 90.00
_cell_angle_beta 90.00
_cell_angle_gamma 120.00
_space_group_name_H-M_alt 'R -3 m'
_space_group_IT_number 166
_space_group_name_Hall '-R 3 2"'
loop_
_atom_site_label
_atom_site_type_symbol
_atom_site_fract_x
_atom_site_fract_y
_atom_site_fract_z
Mn1 Mn 0.0000 0.0000 0.0000
Mn2 Mn 0.0000 0.5000 0.0000
Tl1 Tl 0.0000 0.0000 0.5000
Cl1 Cl 0.0000 0.0000 0.2735
Cl2 Cl 0.0017 0.5008 0.7282
```

In order of appearance, VASP energy = -5.79, -3.70, -5.10 eV per atom.